[1]
Compound: Y2Fe2Si
Source: Alexandria
Functional: PBE-GGA
Structure: optimized geometry

Structure (CIF):
```
data_Y2Fe2Si
_chemical_formula_sum 'Y2 Fe2 Si1'
_cell_length_a 3.373
_cell_length_b 3.373
_cell_length_c 9.014
_cell_angle_alpha 79.22
_cell_angle_beta 79.22
_cell_angle_gamma 90.00
_space_group_name_H-M_alt 'P 1'
_space_group_IT_number 1
loop_
_space_group_symop_operation_xyz
'x,y,z'
loop_
_atom_site_label
_atom_site_fract_x
_atom_site_fract_y
_atom_site_fract_z
_atom_site_occupancy
Si1 0.000 0.000 0.000 1
Fe1 0.250 0.750 0.500 1
Fe2 0.750 0.250 0.500 1
Y1 0.610 0.610 0.779 1
Y2 0.390 0.390 0.221 1
```

* calculated volume: 19.785 Å³/atom
* total DFT energy (no corrections): -7.09 eV/atom
* magnetization: 3.72 μB per formula unit
* N(E_F): 3.78 states/eV per cell
* raw formation energy: -0.18 eV/f.u.

[2]
Compound: Ce4CdSb
Source: Alexandria
Functional: PBE-GGA
Structure: optimized geometry

Structure (CIF):
```
data_Ce4CdSb
_chemical_formula_sum 'Ce8 Cd2 Sb2'
_cell_length_a 5.626
_cell_length_b 7.438
_cell_length_c 8.999
_cell_angle_alpha 99.84
_cell_angle_beta 108.21
_cell_angle_gamma 90.00
_space_group_name_H-M_alt 'P 1'
_space_group_IT_number 1
loop_
_space_group_symop_operation_xyz
'x,y,z'
loop_
_atom_site_label
_atom_site_fract_x
_atom_site_fract_y
_atom_site_fract_z
_atom_site_occupancy
Ce1 0.652 0.414 0.700 1
Ce2 0.047 0.914 0.700 1
Ce3 0.953 0.086 0.300 1
Ce4 0.659 0.458 0.134 1
Ce5 0.348 0.586 0.300 1
Ce6 0.525 0.042 0.866 1
Ce7 0.475 0.958 0.134 1
Ce8 0.341 0.542 0.866 1
Cd1 0.500 0.000 0.500 1
Cd2 0.000 0.500 0.500 1
Sb1 0.915 0.750 0.000 1
Sb2 0.085 0.250 0.000 1
```

* calculated volume: 29.321 Å³/atom
* ΔE to the lowest computed polymorph: 0.06 eV per formula unit
* total DFT energy (no corrections): -5.03 eV/atom
* magnetization: 2.69 μB per formula unit
* N(E_F): 33.17 states/eV per cell
* raw formation energy: -1.43 eV/f.u.